[1]
A plane-wave DFT calculation with PBE was carried out for a relaxed Ac6Tl5Au crystal.

Values from the calculation:
VASP energy = -3.713 eV/atom
DFT formation energy = -0.40 eV/atom

Cell lengths 10.0746, 5.7683, 9.1574 Å; angles 71.46, 79.57, 55.11 degrees
Closest atoms and distances in Å follow each position.
Element x y z (fractional)
Ac: 0.7562 0.0829 0.3222  1 Au 3.45, 7 Tl 3.51-3.62
Ac: 0.2437 0.5953 0.3222  1 Au 3.44, 7 Tl 3.51-3.62
Ac: 0.2380 0.2620 0.0000  2 Au 3.49, 6 Tl 3.54-3.66
Ac: 0.7620 0.7380 0.0000  2 Au 3.49, 6 Tl 3.54-3.66
Ac: 0.7563 0.4047 0.6778  1 Au 3.44, 7 Tl 3.51-3.62
Ac: 0.2438 0.9171 0.6778  1 Au 3.45, 7 Tl 3.51-3.62
Tl: 0.5001 0.1700 0.6606  8 Ac 3.58-3.66, 1 Tl 4.00
Tl: 0.9999 0.3305 0.3390  8 Ac 3.52-3.57
Tl: 0.5000 0.5000 0.0000  8 Ac 3.51-3.61
Tl: 0.0001 0.6695 0.6610  8 Ac 3.52-3.57
Tl: 0.4999 0.8300 0.3394  8 Ac 3.58-3.66, 1 Tl 4.00
Au: 0.0000 0.0000 0.0000  8 Ac 3.44-3.49


[2]
A plane-wave DFT calculation with PBE was carried out for a relaxed Ac2GaPPt6 crystal.

Values from the calculation:
VASP energy = -6.266 eV/atom
DFT formation energy = -0.98 eV/atom

Cell lengths 6.0931, 6.0992, 6.9213 Å; angles 116.14, 116.11, 90.00 degrees
Closest atoms and distances in Å follow each position.
Element x y z (fractional)
Ac: 0.7163 0.2168 0.4326  12 Pt 3.13-3.50, 2 P 3.38, 2 Ga 3.49
Ac: 0.2160 0.7165 0.4320  12 Pt 3.13-3.50, 2 P 3.38, 2 Ga 3.48
Ga: 0.5601 0.5605 0.1201  5 Pt 2.41-2.50
P: 0.0813 0.0818 0.1626  5 Pt 2.34-2.42
Pt: 0.7237 0.7246 0.9228  1 P 2.42, 1 Ga 2.50
Pt: 0.7823 0.7828 0.5647  1 Ga 2.41
Pt: 0.1991 0.1992 0.9228  1 P 2.42, 1 Ga 2.50
Pt: 0.7237 0.1992 0.9228  1 P 2.42, 1 Ga 2.50
Pt: 0.2974 0.2979 0.5949  1 P 2.34
Pt: 0.1991 0.7246 0.9228  1 P 2.42, 1 Ga 2.50


[3]
A plane-wave DFT calculation with PBE was carried out for a relaxed SrAl3As crystal.

Values from the calculation:
VASP energy = -1.999 eV/atom
polymorph energy (0 for the lowest one) = 1263 meV per atom
DFT formation energy = 1.51 eV/atom

Cell lengths 5.7585, 5.7585, 5.7585 Å; angles 90.00, 90.00, 90.00 degrees
Closest atoms and distances in Å follow each position.
Element x y z (fractional)
Sr: 0.0000 0.0000 0.0000  6 Al 2.88
As: 0.5000 0.5000 0.5000  12 Al 4.07
Al: 0.0000 0.5000 0.0000  2 Sr 2.88
Al: 0.0000 0.0000 0.5000  2 Sr 2.88
Al: 0.5000 0.0000 0.0000  2 Sr 2.88


[4]
A plane-wave DFT calculation with PBE was carried out for a relaxed Li2GaSi3Pt4 crystal.

Values from the calculation:
energy relative to the elements, uncorrected = -64.5 kJ per mole of atoms
VASP energy = -5.397 eV/atom

Cell lengths 3.9788, 3.9788, 10.5365 Å; angles 90.00, 90.00, 90.00 degrees
Closest atoms and distances in Å follow each position.
Element x y z (fractional)
Li: 0.5000 0.0000 0.2477  8 Pt 3.04-3.28, 6 Si 3.05-3.32, 2 Ga 3.32
Li: 0.0000 0.5000 0.7523  8 Pt 3.04-3.28, 6 Si 3.05-3.32, 2 Ga 3.32
Ga: 0.5000 0.5000 0.5000  4 Pt 2.49
Si: 0.0000 0.0000 0.5000  4 Pt 2.49
Si: 0.5000 0.0000 0.8632  5 Pt 2.33-2.46
Si: 0.0000 0.5000 0.1368  5 Pt 2.33-2.46
Pt: 0.5000 0.5000 0.0000  4 Si 2.46
Pt: 0.0000 0.0000 0.0000  4 Si 2.46
Pt: 0.5000 0.0000 0.6424  3 Si 2.33-2.49, 2 Ga 2.49
Pt: 0.0000 0.5000 0.3576  3 Si 2.33-2.49, 2 Ga 2.49


[5]
A plane-wave DFT calculation with PBE was carried out for a relaxed TcPbCl4 crystal.

Values from the calculation:
energy relative to the elements, uncorrected = 71.2 kJ per mole of atoms
VASP energy = -2.839 eV/atom

Cell lengths 5.9439, 5.9439, 5.9439 Å; angles 60.00, 60.00, 60.00 degrees
Closest atoms and distances in Å follow each position.
Element x y z (fractional)
Tc: 0.0000 0.0000 0.0000  12 Cl 3.48, 4 Pb 3.64
Pb: 0.7500 0.7500 0.7500  12 Cl 3.49, 4 Tc 3.64
Cl: 0.8778 0.3741 0.3741  6 Cl 2.95-2.99
Cl: 0.3741 0.3741 0.8778  6 Cl 2.95-2.99
Cl: 0.3741 0.8778 0.3741  6 Cl 2.95-2.99
Cl: 0.3741 0.3741 0.3741  6 Cl 2.95-2.99


[6]
A plane-wave DFT calculation with PBE was carried out for a relaxed YErCd crystal.

Values from the calculation:
VASP energy = -4.183 eV/atom
polymorph energy (0 for the lowest one) = 0 meV per atom
DFT formation energy = -0.20 eV/atom

Cell lengths 3.5981, 3.5981, 6.9897 Å; angles 104.91, 104.91, 90.00 degrees
Closest atoms and distances in Å follow each position.
Element x y z (fractional)
Y: 0.9600 0.9600 0.9200  4 Cd 3.27, 4 Er 3.53, 4 Y 3.60
Cd: 0.6183 0.6183 0.2367  4 Er 3.23, 4 Y 3.27, 4 Cd 3.60
Er: 0.2717 0.2717 0.5434  4 Cd 3.23, 4 Y 3.53, 4 Er 3.60


[7]
A plane-wave DFT calculation with PBE was carried out for a relaxed TmPaTlTc crystal.

Values from the calculation:
VASP energy = -6.904 eV/atom
DFT formation energy = -0.23 eV/atom

Cell lengths 3.3492, 3.3492, 8.3719 Å; angles 90.00, 90.00, 90.00 degrees
Closest atoms and distances in Å follow each position.
Element x y z (fractional)
Tm: 0.5000 0.5000 0.7801  4 Tc 2.97
Pa: 0.5000 0.5000 0.3714  4 Tc 2.88
Tl: 0.0000 0.0000 0.0670  4 Tl 3.35, 4 Tm 3.37, 4 Pa 3.48
Tc: 0.0000 0.0000 0.5662  4 Pa 2.88, 4 Tm 2.97


[8]
A plane-wave DFT calculation with PBE was carried out for a relaxed CuRe2BiO8 crystal.

Values from the calculation:
energy relative to the elements, uncorrected = -110.0 kJ per mole of atoms
VASP energy = -7.185 eV/atom

Cell lengths 5.3467, 6.1564, 7.1508 Å; angles 56.20, 68.05, 64.26 degrees
Closest atoms and distances in Å follow each position.
Element x y z (fractional)
Cu: 0.0000 0.0000 0.0000  4 O 2.07
Re: 0.3009 0.2325 0.1657  4 O 1.76-1.82
Re: 0.6991 0.7675 0.8343  4 O 1.76-1.82
Bi: 0.5000 0.5000 0.5000  2 O 2.39
O: 0.8664 0.6084 0.6587  1 Re 1.76
O: 0.6749 0.5180 0.1321  1 Re 1.80
O: 0.1336 0.3916 0.3413  1 Re 1.76
O: 0.3251 0.4820 0.8679  1 Re 1.80
O: 0.6336 0.9724 0.2417  1 Re 1.82
O: 0.3664 0.0276 0.7583  1 Re 1.82
O: 0.1523 0.9724 0.2417  1 Re 1.82
O: 0.8477 0.0276 0.7583  1 Re 1.82


[9]
A plane-wave DFT calculation with PBE was carried out for a relaxed HoZrPa2 crystal.

Values from the calculation:
VASP energy = -7.614 eV/atom
polymorph energy (0 for the lowest one) = 277 meV per atom
DFT formation energy = 0.42 eV/atom

Cell lengths 5.2787, 5.2787, 5.2823 Å; angles 60.02, 60.02, 60.00 degrees
Closest atoms and distances in Å follow each position.
Element x y z (fractional)
Pa: 0.7502 0.7502 0.7493  4 Zr 3.23-3.24, 4 Ho 3.23
Pa: 0.2498 0.2498 0.2507  4 Zr 3.23-3.24, 4 Ho 3.23
Ho: 0.0000 0.0000 0.0000  8 Pa 3.23
Zr: 0.5000 0.5000 0.5000  8 Pa 3.23-3.24


[10]
A plane-wave DFT calculation with PBE was carried out for a relaxed BaHgPtPb3 crystal.

Values from the calculation:
VASP energy = -3.400 eV/atom
DFT formation energy = -0.17 eV/atom

Cell lengths 7.2897, 7.1484, 9.2251 Å; angles 112.80, 90.00, 90.00 degrees
Closest atoms and distances in Å follow each position.
Element x y z (fractional)
Ba: 0.7500 0.1899 0.3799  8 Pb 3.68-4.12, 2 Hg 3.83
Ba: 0.2500 0.8101 0.6201  8 Pb 3.68-4.12, 2 Hg 3.83
Hg: 0.2500 0.3912 0.7823  5 Pb 2.90-3.16
Hg: 0.7500 0.6088 0.2177  5 Pb 2.90-3.16
Pt: 0.2500 0.0650 0.1300  5 Pb 2.64-2.78
Pt: 0.7500 0.9350 0.8700  5 Pb 2.64-2.78
Pb: 0.2500 0.2204 0.4408  1 Pt 2.64, 1 Hg 2.90
Pb: 0.0000 0.2495 0.0000  2 Pt 2.78
Pb: 0.5000 0.7505 0.0000  2 Pt 2.78
Pb: 0.5000 0.2495 0.0000  2 Pt 2.78
Pb: 0.0000 0.7505 0.0000  2 Pt 2.78
Pb: 0.7500 0.7796 0.5592  1 Pt 2.64, 1 Hg 2.90


[11]
A plane-wave DFT calculation with PBE was carried out for a relaxed Ta2Te crystal.

Values from the calculation:
energy relative to the elements, uncorrected = 74.5 kJ per mole of atoms
VASP energy = -8.177 eV/atom

Cell lengths 4.7790, 4.7790, 3.1531 Å; angles 90.00, 90.00, 120.00 degrees
Closest atoms and distances in Å follow each position.
Element x y z (fractional)
Ta: 0.6667 0.3333 0.0000  3 Ta 2.76
Ta: 0.3333 0.6667 0.0000  3 Ta 2.76
Te: 0.0000 0.0000 0.5000  2 Te 3.15, 12 Ta 3.18


[12]
A plane-wave DFT calculation with PBE was carried out for a relaxed CsPmZnSe3 crystal.

Values from the calculation:
energy relative to the elements, uncorrected = -134.6 kJ per mole of atoms
VASP energy = -4.283 eV/atom

Cell lengths 4.2643, 9.8449, 10.3308 Å; angles 110.54, 90.00, 90.00 degrees
Closest atoms and distances in Å follow each position.
Element x y z (fractional)
Cs: 0.2500 0.2128 0.2418  7 Se 3.66-3.83
Cs: 0.7500 0.7872 0.7582  7 Se 3.66-3.83
Pm: 0.2500 0.6697 0.1405  6 Se 2.90-3.11
Pm: 0.7500 0.3303 0.8595  6 Se 2.90-3.11
Zn: 0.2500 0.0825 0.6105  4 Se 2.44-2.58
Zn: 0.7500 0.9175 0.3895  4 Se 2.44-2.58
Se: 0.7500 0.8807 0.1433  1 Zn 2.44
Se: 0.2500 0.1193 0.8567  1 Zn 2.44
Se: 0.2500 0.8142 0.4605  3 Zn 2.55-2.58
Se: 0.7500 0.1858 0.5395  3 Zn 2.55-2.58
Se: 0.7500 0.4718 0.1575  3 Pm 2.90-2.93
Se: 0.2500 0.5282 0.8425  3 Pm 2.90-2.93